Entry 1:
Ba2ZnGa4Ge3 | PBE-GGA | optimized geometry

calculated volume	23.41	A^3/atom
DFT total energy	-0.2551	Ry/atom

a = 4.754 Å, b = 4.754 Å, c = 10.358 Å
α = 90.00°, β = 90.00°, γ = 90.00°
Fractional coordinates of all 10 atoms:
Ba: 0.500 0.000 0.253
Ba: 0.000 0.500 0.747
Zn: 0.500 0.500 0.500
Ga: 0.500 0.500 0.000
Ga: 0.000 0.000 0.000
Ga: 0.500 0.000 0.623
Ga: 0.000 0.500 0.377
Ge: 0.000 0.000 0.500
Ge: 0.500 0.000 0.877
Ge: 0.000 0.500 0.123

***

Entry 2:
La2TbPd | PBE-GGA | optimized geometry

calculated volume	29.80	A^3/atom
DFT total energy	-0.3856	Ry/atom

a = 3.774 Å, b = 3.774 Å, c = 8.366 Å
α = 90.00°, β = 90.00°, γ = 90.00°
Fractional coordinates of all 4 atoms:
Tb: 0.500 0.500 0.500
Pd: 0.500 0.500 0.000
La: 0.000 0.000 0.793
La: 0.000 0.000 0.207

***

Entry 3:
SrHRh | PBE-GGA | optimized geometry

calculated volume	16.99	A^3/atom
DFT total energy	-0.3309	Ry/atom

a = 7.093 Å, b = 6.432 Å, c = 5.135 Å
α = 37.00°, β = 46.30°, γ = 56.50°
Fractional coordinates of all 6 atoms:
Sr: 0.961 0.851 0.871
Sr: 0.461 0.851 0.871
H: 0.211 0.351 0.871
H: 0.711 0.351 0.872
Rh: 0.461 0.351 0.871
Rh: 0.961 0.351 0.871

***

Entry 4:
K3Np3ScSe8 | PBE-GGA | optimized geometry

calculated volume	31.36	A^3/atom
formation energy without anion corrections	-1318	meV/atom
DFT total energy	-0.4708	Ry/atom

a = 8.341 Å, b = 8.355 Å, c = 9.157 Å
α = 117.10°, β = 90.00°, γ = 119.94°
Fractional coordinates of all 15 atoms:
K: 0.000 0.000 0.000
K: 0.000 0.500 0.000
K: 0.500 0.500 0.000
Np: 0.500 0.000 0.500
Np: 0.500 0.500 0.500
Np: 0.000 0.500 0.500
Sc: 0.000 0.000 0.500
Se: 0.264 0.528 0.293
Se: 0.736 0.472 0.707
Se: 0.774 0.548 0.306
Se: 0.226 0.452 0.694
Se: 0.774 0.029 0.304
Se: 0.226 0.971 0.696
Se: 0.255 0.029 0.304
Se: 0.745 0.971 0.696

***

Entry 5:
RbInICl2 | PBE-GGA | optimized geometry

calculated volume	36.77	A^3/atom
formation energy without anion corrections	-1188	meV/atom
DFT total energy	-0.2189	Ry/atom

a = 5.476 Å, b = 5.476 Å, c = 6.131 Å
α = 90.00°, β = 90.00°, γ = 90.00°
Fractional coordinates of all 5 atoms:
I: 0.000 0.000 0.500
Cl: 0.000 0.500 0.000
Cl: 0.500 0.000 0.000
Rb: 0.500 0.500 0.500
In: 0.000 0.000 0.000

***

Entry 6:
AlFeSe2S | PBE-GGA | optimized geometry

calculated volume	22.52	A^3/atom
formation energy without anion corrections	862	meV/atom
DFT total energy	-0.2792	Ry/atom

a = 4.755 Å, b = 4.981 Å, c = 4.755 Å
α = 90.00°, β = 90.00°, γ = 90.00°
Fractional coordinates of all 5 atoms:
S: 0.500 0.500 0.500
Fe: 0.000 0.500 0.000
Se: 0.000 0.000 0.500
Se: 0.500 0.000 0.000
Al: 0.000 0.000 0.000

***

Entry 7:
Sc2Ni2Pd | PBE-GGA | optimized geometry

calculated volume	15.90	A^3/atom
DFT total energy	-0.4699	Ry/atom

a = 4.398 Å, b = 4.398 Å, c = 5.147 Å
α = 68.49°, β = 68.49°, γ = 62.13°
Fractional coordinates of all 5 atoms:
Sc: 0.737 0.237 0.299
Sc: 0.263 0.763 0.701
Ni: 0.904 0.404 0.749
Ni: 0.096 0.596 0.251
Pd: 0.500 0.000 0.000

***

Entry 8:
Sr2Ca2Ag15 | PBE-GGA | optimized geometry

calculated volume	21.80	A^3/atom
DFT total energy	-0.2057	Ry/atom

a = 7.524 Å, b = 7.524 Å, c = 7.524 Å
α = 81.92°, β = 81.92°, γ = 81.92°
Fractional coordinates of all 19 atoms:
Sr: 0.355 0.355 0.355
Sr: 0.645 0.645 0.645
Ca: 0.107 0.107 0.107
Ca: 0.893 0.893 0.893
Ag: 0.500 0.000 0.000
Ag: 0.000 0.000 0.500
Ag: 0.000 0.500 0.000
Ag: 0.000 0.698 0.302
Ag: 0.698 0.302 0.000
Ag: 0.302 0.000 0.698
Ag: 0.302 0.698 0.000
Ag: 0.698 0.000 0.302
Ag: 0.000 0.302 0.698
Ag: 0.159 0.649 0.649
Ag: 0.649 0.649 0.159
Ag: 0.649 0.159 0.649
Ag: 0.841 0.351 0.351
Ag: 0.351 0.351 0.841
Ag: 0.351 0.841 0.351

***

Entry 9:
Pu2Ge2Rh | PBE-GGA | optimized geometry

calculated volume	20.77	A^3/atom
DFT total energy	-0.7056	Ry/atom

a = 4.065 Å, b = 5.671 Å, c = 10.581 Å
α = 112.49°, β = 89.96°, γ = 111.04°
Fractional coordinates of all 10 atoms:
Pu: 0.398 0.296 0.102
Pu: 0.102 0.704 0.398
Pu: 0.602 0.704 0.898
Pu: 0.898 0.296 0.602
Ge: 0.621 0.742 0.621
Ge: 0.879 0.259 0.879
Ge: 0.379 0.258 0.379
Ge: 0.121 0.741 0.121
Rh: 0.750 0.000 0.250
Rh: 0.250 0.000 0.750

***

Entry 10:
NdDyHg | PBE-GGA | optimized geometry

calculated volume	29.26	A^3/atom
DFT total energy	-0.2593	Ry/atom

a = 3.693 Å, b = 3.693 Å, c = 6.947 Å
α = 105.41°, β = 105.41°, γ = 90.00°
Fractional coordinates of all 3 atoms:
Nd: 0.009 0.009 0.018
Hg: 0.675 0.675 0.350
Dy: 0.316 0.316 0.632

***

Entry 11:
Pm6GeAs3S2 | PBE-GGA | optimized geometry

calculated volume	25.89	A^3/atom
formation energy without anion corrections	-1611	meV/atom
DFT total energy	-0.4572	Ry/atom

a = 4.185 Å, b = 8.369 Å, c = 9.347 Å
α = 102.79°, β = 102.94°, γ = 90.00°
Fractional coordinates of all 12 atoms:
Pm: 0.334 0.917 0.667
Pm: 0.666 0.584 0.333
Pm: 0.666 0.083 0.333
Pm: 0.001 0.250 0.002
Pm: 0.999 0.750 0.998
Pm: 0.334 0.416 0.667
Ge: 0.500 0.000 0.000
As: 0.500 0.500 0.000
As: 0.832 0.169 0.665
As: 0.168 0.831 0.335
S: 0.831 0.663 0.663
S: 0.169 0.337 0.337

***

Entry 12:
Tl2Ag12Te7 | PBE-GGA | optimized geometry

calculated volume	25.54	A^3/atom
formation energy without anion corrections	-94	meV/atom
DFT total energy	-0.2202	Ry/atom

a = 4.714 Å, b = 11.462 Å, c = 11.462 Å
α = 120.00°, β = 90.00°, γ = 90.00°
Fractional coordinates of all 21 atoms:
Tl: 0.281 0.333 0.667
Tl: 0.719 0.667 0.333
Ag: 0.318 0.675 0.063
Ag: 0.318 0.387 0.325
Ag: 0.318 0.937 0.612
Ag: 0.682 0.325 0.937
Ag: 0.682 0.613 0.675
Ag: 0.682 0.063 0.388
Ag: 0.182 0.103 0.249
Ag: 0.182 0.145 0.897
Ag: 0.182 0.751 0.855
Ag: 0.818 0.897 0.751
Ag: 0.818 0.855 0.103
Ag: 0.818 0.249 0.145
Te: 0.500 0.000 0.000
Te: 0.206 0.893 0.322
Te: 0.206 0.429 0.107
Te: 0.206 0.678 0.571
Te: 0.794 0.107 0.678
Te: 0.794 0.571 0.893
Te: 0.794 0.322 0.429